Compound: SmCo2GeP
Source: Alexandria
Functional: PBE
Structure: relaxed

Calculated values
Total moment, μB/cell: 2.923
Formation enthalpy at 0 K, eV per atom: -0.620
Calculated volume, Å³ per cell: 164
Calculated density, g/cm³: 7.533

Cell lengths 6.0860, 6.0860, 7.0323 Å; angles 90.00, 90.00, 141.00 degrees
Closest atoms and distances in Å follow each position.
Atoms (fractional coordinates):
Sm 0.0670 0.9330 0.7500  4 P 2.79
Sm 0.9330 0.0670 0.2500  4 P 2.79
Co 0.3200 0.6800 0.5641  1 P 2.11
Co 0.3200 0.6800 0.9359  1 P 2.11
Co 0.6800 0.3200 0.0641  1 P 2.11
Co 0.6800 0.3200 0.4359  1 P 2.11
Ge 0.2236 0.7764 0.2500  6 Co 2.47
Ge 0.7764 0.2236 0.7500  6 Co 2.47
P 0.5000 0.5000 0.0000  2 Co 2.11
P 0.5000 0.5000 0.5000  2 Co 2.11

Compound: TaCdRu2
Source: Alexandria
Functional: PBE
Structure: relaxed

Calculated values
Total moment, μB/cell: 0.001
Formation enthalpy at 0 K, eV per atom: 0.149
Calculated volume, Å³ per cell: 66
Calculated density, g/cm³: 12.527

Cell lengths 2.8822, 4.0663, 5.6041 Å; angles 90.00, 90.00, 90.00 degrees
Closest atoms and distances in Å follow each position.
Atoms (fractional coordinates):
Ta 0.0000 0.0000 0.0000  5 Ru 2.53-2.75
Cd 0.5000 0.5000 0.2993  6 Ru 2.76-2.86, 2 Cd 2.88, 4 Ta 3.00
Ru 0.0000 0.0000 0.5485  1 Ta 2.53
Ru 0.5000 0.5000 0.7914  4 Ta 2.75, 2 Cd 2.76-2.85, 6 Ru 2.84-2.88

Compound: La8Nd5Tm
Source: Alexandria
Functional: PBE
Structure: relaxed

Calculated values
Total moment, μB/cell: 0.000
Formation enthalpy at 0 K, eV per atom: 0.224
Calculated volume, Å³ per cell: 513
Calculated density, g/cm³: 6.474

Cell lengths 8.7384, 8.7384, 8.7384 Å; angles 110.30, 110.30, 107.83 degrees
Closest atoms and distances in Å follow each position.
Atoms (fractional coordinates):
La 0.0759 0.6829 0.7678  1 Tm 3.22, 3 Nd 3.25-3.50
La 0.1706 0.2717 0.7640  5 Nd 3.50-3.74, 4 La 3.63-3.92
La 0.3171 0.0850 0.3931  1 Tm 3.22, 3 Nd 3.25-3.50
La 0.5077 0.4067 0.2360  5 Nd 3.50-3.74, 4 La 3.63-3.92
La 0.5933 0.8294 0.1010  5 Nd 3.50-3.74, 4 La 3.63-3.92
La 0.6919 0.9241 0.6069  1 Tm 3.22, 3 Nd 3.25-3.50
La 0.7283 0.4923 0.8990  5 Nd 3.50-3.74, 4 La 3.63-3.92
La 0.9150 0.3081 0.2322  1 Tm 3.22, 3 Nd 3.25-3.50
Nd 0.2250 0.6211 0.1931  8 La 3.42-3.78, 2 Nd 3.60
Nd 0.3789 0.5721 0.6039  8 La 3.42-3.78, 2 Nd 3.60
Nd 0.4279 0.0319 0.8069  8 La 3.42-3.78, 2 Nd 3.60
Nd 0.7500 0.2500 0.5000  8 La 3.25-3.50
Nd 0.9681 0.7750 0.3961  8 La 3.42-3.78, 2 Nd 3.60
Tm 0.0000 0.0000 0.0000  4 La 3.22

Compound: TbTm4Ag2
Source: Alexandria
Functional: PBE
Structure: relaxed

Calculated values
Total moment, μB/cell: 0.000
Formation enthalpy at 0 K, eV per atom: 0.159
Calculated volume, Å³ per cell: 211
Calculated density, g/cm³: 8.270

Cell lengths 10.4311, 10.4311, 10.4311 Å; angles 27.32, 27.32, 27.32 degrees
Closest atoms and distances in Å follow each position.
Atoms (fractional coordinates):
Tb 0.0000 0.0000 0.0000  2 Ag 3.05
Tm 0.2016 0.2016 0.2016  4 Ag 2.99-3.02
Tm 0.3983 0.3983 0.3983  3 Ag 3.05
Tm 0.6017 0.6017 0.6017  3 Ag 3.05
Tm 0.7984 0.7984 0.7984  4 Ag 2.99-3.02
Ag 0.1014 0.1014 0.1014  7 Tm 2.99-3.05, 1 Tb 3.05
Ag 0.8986 0.8986 0.8986  7 Tm 2.99-3.05, 1 Tb 3.05

Compound: RbSrIn4
Source: Alexandria
Functional: PBE
Structure: relaxed

Calculated values
Total moment, μB/cell: 0.000
Formation enthalpy at 0 K, eV per atom: -0.245
Calculated volume, Å³ per cell: 189
Calculated density, g/cm³: 5.568

Cell lengths 6.4369, 6.4369, 6.4369 Å; angles 60.00, 60.00, 60.00 degrees
Closest atoms and distances in Å follow each position.
Atoms (fractional coordinates):
Rb 0.0000 0.0000 0.0000  12 In 3.77, 4 Sr 3.94
Sr 0.7500 0.7500 0.7500  12 In 3.77, 4 Rb 3.94
In 0.3752 0.3752 0.3752  6 In 3.21-3.22
In 0.3752 0.3752 0.8743  6 In 3.21-3.22
In 0.3752 0.8743 0.3752  6 In 3.21-3.22
In 0.8743 0.3752 0.3752  6 In 3.21-3.22

Compound: CaAgAs
Source: Alexandria
Functional: PBE
Structure: relaxed

Calculated values
Total moment, μB/cell: 0.000
Formation enthalpy at 0 K, eV per atom: -0.684
Calculated volume, Å³ per cell: 291
Calculated density, g/cm³: 5.091

Cell lengths 7.8589, 4.5383, 8.5592 Å; angles 90.00, 107.73, 90.00 degrees
Closest atoms and distances in Å follow each position.
Atoms (fractional coordinates):
Ca 0.0000 0.0000 0.0000  3 As 2.99, 6 Ag 3.17-3.24
Ca 0.1551 0.0000 0.4679  4 As 2.90-3.03
Ca 0.5000 0.5000 0.0000  3 As 2.99, 6 Ag 3.17-3.24
Ca 0.6551 0.5000 0.4679  4 As 2.90-3.03
Ag 0.0894 0.5000 0.7669  3 As 2.66
Ag 0.4060 0.0000 0.2194  3 As 2.67
Ag 0.5894 0.0000 0.7669  3 As 2.66
Ag 0.9060 0.5000 0.2194  3 As 2.67
As 0.2602 0.5000 0.2823  3 Ag 2.67
As 0.2751 0.0000 0.8242  3 Ag 2.66, 1 Ca 2.90
As 0.7602 0.0000 0.2823  3 Ag 2.67
As 0.7751 0.5000 0.8242  3 Ag 2.66, 1 Ca 2.90

Compound: CeDy2Tm
Source: Alexandria
Functional: PBE
Structure: relaxed

Calculated values
Total moment, μB/cell: 6.296
Formation enthalpy at 0 K, eV per atom: 0.467
Calculated volume, Å³ per cell: 541
Calculated density, g/cm³: 7.788
Offset from the most stable computed form, meV/atom: 411.5

Cell lengths 6.6321, 22.4671, 3.8130 Å; angles 90.00, 107.86, 90.00 degrees
Closest atoms and distances in Å follow each position.
Atoms (fractional coordinates):
Ce 0.2500 0.2500 0.0000  2 Tm 3.10, 2 Ce 3.28
Ce 0.2500 0.7500 0.5000  2 Tm 3.10, 2 Ce 3.28
Ce 0.7500 0.2500 0.5000  2 Tm 3.10, 2 Ce 3.28
Ce 0.7500 0.7500 0.0000  2 Tm 3.10, 2 Ce 3.28
Dy 0.2166 0.0620 0.1142  2 Tm 3.25-3.32, 5 Dy 3.33-3.58
Dy 0.2166 0.9380 0.6142  2 Tm 3.25-3.32, 5 Dy 3.33-3.58
Dy 0.2834 0.4380 0.8858  2 Tm 3.25-3.32, 5 Dy 3.33-3.58
Dy 0.2834 0.5621 0.3858  2 Tm 3.25-3.32, 5 Dy 3.33-3.58
Dy 0.7166 0.4380 0.6142  2 Tm 3.25-3.32, 5 Dy 3.33-3.58
Dy 0.7166 0.5621 0.1142  2 Tm 3.25-3.32, 5 Dy 3.33-3.58
Dy 0.7834 0.0620 0.3858  2 Tm 3.25-3.32, 5 Dy 3.33-3.58
Dy 0.7834 0.9380 0.8858  2 Tm 3.25-3.32, 5 Dy 3.33-3.58
Tm 0.0000 0.3493 0.2500  2 Ce 3.10, 4 Dy 3.25-3.32
Tm 0.0000 0.6507 0.7500  2 Ce 3.10, 4 Dy 3.25-3.32
Tm 0.5000 0.1507 0.7500  2 Ce 3.10, 4 Dy 3.25-3.32
Tm 0.5000 0.8493 0.2500  2 Ce 3.10, 4 Dy 3.25-3.32

Compound: HoCdPd6
Source: Alexandria
Functional: PBE
Structure: relaxed

Calculated values
Total moment, μB/cell: 0.000
Formation enthalpy at 0 K, eV per atom: -0.093
Calculated volume, Å³ per cell: 160
Calculated density, g/cm³: 9.497

Cell lengths 5.4564, 5.4564, 5.4564 Å; angles 84.25, 84.25, 84.25 degrees
Closest atoms and distances in Å follow each position.
Atoms (fractional coordinates):
Ho 0.0000 0.0000 0.0000  6 Pd 2.70
Cd 0.5000 0.5000 0.5000  6 Pd 2.73
Pd 0.1602 0.1602 0.5316  5 Pd 2.66-2.85, 1 Ho 2.70, 1 Cd 2.73
Pd 0.1602 0.5316 0.1602  5 Pd 2.66-2.85, 1 Ho 2.70, 1 Cd 2.73
Pd 0.4684 0.8398 0.8398  5 Pd 2.66-2.85, 1 Ho 2.70, 1 Cd 2.73
Pd 0.5316 0.1602 0.1602  5 Pd 2.66-2.85, 1 Ho 2.70, 1 Cd 2.73
Pd 0.8398 0.4684 0.8398  5 Pd 2.66-2.85, 1 Ho 2.70, 1 Cd 2.73
Pd 0.8398 0.8398 0.4684  5 Pd 2.66-2.85, 1 Ho 2.70, 1 Cd 2.73

Compound: NaTh3Sb4
Source: Alexandria
Functional: PBE
Structure: relaxed

Calculated values
Total moment, μB/cell: 0.000
Calculated volume, Å³ per cell: 260
Calculated density, g/cm³: 7.714
Uncorrected formation energy, eV/atom: -0.750

Cell lengths 6.3797, 6.3797, 6.3797 Å; angles 90.00, 90.00, 90.00 degrees
Closest atoms and distances in Å follow each position.
Atoms (fractional coordinates):
Na 0.0000 0.0000 0.0000  6 Sb 3.19
Th 0.0000 0.5000 0.5000  6 Sb 3.19
Th 0.5000 0.0000 0.5000  6 Sb 3.19
Th 0.5000 0.5000 0.0000  6 Sb 3.19
Sb 0.0000 0.0000 0.5000  4 Th 3.19, 2 Na 3.19
Sb 0.0000 0.5000 0.0000  4 Th 3.19, 2 Na 3.19
Sb 0.5000 0.0000 0.0000  4 Th 3.19, 2 Na 3.19
Sb 0.5000 0.5000 0.5000  6 Th 3.19

Compound: Mg2ScNiSe
Source: Alexandria
Functional: PBE
Structure: relaxed

Calculated values
Total moment, μB/cell: 0.000
Calculated volume, Å³ per cell: 109
Calculated density, g/cm³: 3.530
Uncorrected formation energy, eV/atom: -0.241

Cell lengths 4.8214, 4.8214, 4.6795 Å; angles 90.00, 90.00, 90.00 degrees
Closest atoms and distances in Å follow each position.
Atoms (fractional coordinates):
Mg 0.0000 0.5000 0.0000  2 Ni 2.41
Mg 0.5000 0.0000 0.0000  2 Ni 2.41
Sc 0.0000 0.0000 0.5000  2 Ni 2.34
Ni 0.0000 0.0000 0.0000  2 Sc 2.34, 4 Mg 2.41
Se 0.5000 0.5000 0.5000  8 Mg 3.36, 4 Sc 3.41

Compound: Er8Ni2Pd
Source: Alexandria
Functional: PBE
Structure: relaxed

Calculated values
Total moment, μB/cell: 0.000
Formation enthalpy at 0 K, eV per atom: -0.320
Calculated volume, Å³ per cell: 269
Calculated density, g/cm³: 9.628
Offset from the most stable computed form, meV/atom: 0.0

Cell lengths 8.9280, 8.9280, 6.5704 Å; angles 104.92, 104.92, 32.27 degrees
Closest atoms and distances in Å follow each position.
Atoms (fractional coordinates):
Er 0.0365 0.0365 0.2844  1 Ni 2.67
Er 0.2021 0.2021 0.8347  1 Ni 2.68
Er 0.3270 0.3270 0.5157  1 Ni 2.65
Er 0.4076 0.4076 0.0395  1 Pd 3.02, 2 Ni 3.21, 4 Er 3.35
Er 0.5924 0.5924 0.9605  1 Pd 3.02, 2 Ni 3.21, 4 Er 3.35
Er 0.6730 0.6730 0.4843  1 Ni 2.65
Er 0.7979 0.7979 0.1653  1 Ni 2.68
Er 0.9635 0.9635 0.7156  1 Ni 2.67
Ni 0.1853 0.1853 0.2288  3 Er 2.65-2.68
Ni 0.8147 0.8147 0.7712  3 Er 2.65-2.68
Pd 0.5000 0.5000 0.5000  8 Er 3.00-3.02

Compound: Dy6BiRh
Source: Alexandria
Functional: PBE
Structure: relaxed

Calculated values
Total moment, μB/cell: 0.000
Formation enthalpy at 0 K, eV per atom: -0.224
Calculated volume, Å³ per cell: 267
Calculated density, g/cm³: 7.994

Cell lengths 6.8476, 6.8589, 7.6621 Å; angles 90.12, 116.42, 119.94 degrees
Closest atoms and distances in Å follow each position.
Atoms (fractional coordinates):
Dy 0.0430 0.0814 0.2674  1 Rh 2.69
Dy 0.3062 0.7245 0.2676  1 Rh 2.69
Dy 0.3127 0.5377 0.7326  1 Rh 2.69
Dy 0.6873 0.4623 0.2674  1 Rh 2.69
Dy 0.6938 0.2755 0.7324  1 Rh 2.69
Dy 0.9570 0.9186 0.7326  1 Rh 2.69
Bi 0.5000 0.0000 0.0000  6 Dy 3.08
Rh 0.5000 0.5000 0.5000  6 Dy 2.69